Computed, not measured: a geometry-optimized ZnFe2IrO6 structure at the GGA+U level of DFT.

Cell and atoms, written as POSCAR:
```
ZnFe2IrO6
1.0
-1.962 4.091 2.392
-0.792 -0.126 5.066
3.354 2.955 3.195
Zn Fe Ir O
1 2 1 6
direct
0.804 0.804 0.588 Zn
0.517 0.517 0.448 Fe
0.012 0.012 0.964 Fe
0.320 0.320 0.039 Ir
0.605 0.240 0.245 O
0.240 0.909 0.245 O
0.910 0.605 0.245 O
0.399 0.724 0.747 O
0.724 0.129 0.747 O
0.129 0.399 0.747 O
```

Calculated values
Its uncorrected energy is -0.2244 Ha/atom.